[1]
The following is a PBE calculation of a relaxed structure of Li2B2N3, from Alexandria via LeMat-Bulk.

Computed properties:
raw formation energy = -0.6099 eV/atom
E = -6.63 eV per atom
size of the total moment = 0.00 μB/f.u.

```
data_Li2B2N3
_symmetry_space_group_name_H-M 'C 1 2/m 1'
_symmetry_Int_Tables_number 12
_cell_length_a 9.2316
_cell_length_b 2.5744
_cell_length_c 5.0536
_cell_angle_alpha 90.00
_cell_angle_beta 120.47
_cell_angle_gamma 90.00
loop_
_symmetry_equiv_pos_as_xyz
'x,y,z'
'-x,-y,-z'
'-x,y,-z'
'x,-y,z'
'x+1/2,y+1/2,z'
'-x+1/2,-y+1/2,-z'
'-x+1/2,y+1/2,-z'
'x+1/2,-y+1/2,z'
loop_
_atom_site_label
_atom_site_type_symbol
_atom_site_fract_x
_atom_site_fract_y
_atom_site_fract_z
_atom_site_occupancy
Li1 Li 0.1020 0.0000 0.3942 1
B1 B 0.1761 0.5000 0.0593 1
N1 N 0.0000 0.5000 0.0000 1
N2 N 0.2191 0.5000 0.7770 1
```

[2]
The following is a PBE calculation of a relaxed structure of Pa2CoNi2, from Alexandria via LeMat-Bulk.

Computed properties:
E = -7.48 eV per atom
calculated formation energy = 56 meV per atom
size of the total moment = 0.00 μB/f.u.

```
data_Pa2CoNi2
_symmetry_space_group_name_H-M 'P -3 m 1'
_symmetry_Int_Tables_number 164
_symmetry_space_group_name_Hall '-P 3 2"'
_cell_length_a 4.0741
_cell_length_b 4.0741
_cell_length_c 7.2255
_cell_angle_alpha 90.00
_cell_angle_beta 90.00
_cell_angle_gamma 120.00
loop_
_atom_site_label
_atom_site_type_symbol
_atom_site_fract_x
_atom_site_fract_y
_atom_site_fract_z
_atom_site_occupancy
Pa1 Pa 0.3333 0.6667 0.1963 1
Co1 Co 0.0000 0.0000 0.0000 1
Ni1 Ni 0.0000 0.0000 0.3451 1
```

[3]
The following is a PBE calculation of a relaxed structure of LiHo3Ir2, from Alexandria via LeMat-Bulk.

Computed properties:
E = -6.27 eV per atom
calculated formation energy = -704 meV per atom
size of the total moment = 0.00 μB/f.u.

```
data_LiHo3Ir2
_symmetry_space_group_name_H-M 'P -3 m 1'
_symmetry_Int_Tables_number 164
_symmetry_space_group_name_Hall '-P 3 2"'
_cell_length_a 4.8520
_cell_length_b 4.8520
_cell_length_c 12.0332
_cell_angle_alpha 90.00
_cell_angle_beta 90.00
_cell_angle_gamma 120.00
loop_
_atom_site_label
_atom_site_type_symbol
_atom_site_fract_x
_atom_site_fract_y
_atom_site_fract_z
_atom_site_occupancy
Li1 Li 0.3333 0.6667 0.1699 1
Ho1 Ho 0.0000 0.0000 0.2568 1
Ho2 Ho 0.3333 0.6667 0.4224 1
Ho3 Ho 0.3333 0.6667 0.9167 1
Ir1 Ir 0.0000 0.0000 0.0000 1
Ir2 Ir 0.0000 0.0000 0.5000 1
Ir3 Ir 0.3333 0.6667 0.6728 1
```

[4]
The following is a PBE calculation of a relaxed structure of Pm2Co3As4Pt, from Alexandria via LeMat-Bulk.

Computed properties:
E = -6.33 eV per atom
calculated formation energy = -788 meV per atom
size of the total moment = 1.07 μB/f.u.

```
data_Pm2Co3As4Pt
_symmetry_space_group_name_H-M 'P -4 m 2'
_symmetry_Int_Tables_number 115
_cell_length_a 4.2037
_cell_length_b 4.2037
_cell_length_c 9.6051
_cell_angle_alpha 90.00
_cell_angle_beta 90.00
_cell_angle_gamma 90.00
loop_
_symmetry_equiv_pos_as_xyz
'x,y,z'
'y,-x,-z'
'-x,-y,z'
'-y,x,-z'
'-x,y,z'
'-y,-x,-z'
'x,-y,z'
'y,x,-z'
loop_
_atom_site_label
_atom_site_type_symbol
_atom_site_fract_x
_atom_site_fract_y
_atom_site_fract_z
_atom_site_occupancy
Pm1 Pm 0.0000 0.5000 0.2428 1
Co1 Co 0.0000 0.5000 0.8896 1
Co2 Co 0.5000 0.5000 0.5000 1
As1 As 0.0000 0.0000 0.0000 1
As2 As 0.0000 0.5000 0.6474 1
As3 As 0.5000 0.5000 0.0000 1
Pt1 Pt 0.0000 0.0000 0.5000 1
```